[1]
The following is a PBE calculation of an optimized crystal structure of SiIrSe2, from Alexandria.

a = 4.507 Å, b = 4.511 Å, c = 4.507 Å
α = 70.87°, β = 69.88°, γ = 109.13°
Positions (direct):
Ir: 0.500 0.500 0.000
Se: 0.000 0.000 0.000
Se: 0.500 0.000 0.500
Si: 0.000 0.500 0.500

Magnetic moment: 0.00 μB per atom
D(E_F): 0.53 states/eV/atom
Space-group type: I4/mmm
E_form (uncorrected): 0.17 eV/atom

=====

[2]
The following is a PBE calculation of an optimized crystal structure of YAg2I, from Alexandria.

a = 8.499 Å, b = 8.499 Å, c = 6.701 Å
α = 50.64°, β = 50.64°, γ = 90.00°
Positions (direct):
I: 0.000 0.000 0.000
I: 0.750 0.250 0.500
Y: 0.500 0.500 0.000
Y: 0.250 0.750 0.500
Ag: 0.626 0.125 0.250
Ag: 0.124 0.625 0.250
Ag: 0.375 0.374 0.750
Ag: 0.875 0.876 0.750

Magnetic moment: 0.00 μB per atom
D(E_F): 0.06 states/eV/atom
Space-group type: I-42d
Polymorph energy (0 for the lowest one): 0.0 kJ per mole of atoms
E_form (uncorrected): -0.15 eV/atom

=====

[3]
The following is a PBE calculation of an optimized crystal structure of PrNd2GaO, from Alexandria.

a = 4.963 Å, b = 4.911 Å, c = 4.911 Å
α = 90.00°, β = 90.00°, γ = 90.00°
Positions (direct):
Pr: 0.500 0.000 0.000
Nd: 0.000 0.000 0.500
Nd: 0.000 0.500 0.000
Ga: 0.500 0.500 0.500
O: 0.000 0.000 0.000

Magnetic moment: 0.00 μB per atom
D(E_F): 0.30 states/eV/atom
Space-group type: P4/mmm
E_form (uncorrected): -1.36 eV/atom

=====

[4]
The following is a PBE calculation of an optimized crystal structure of Pr6Y12Tm, from Alexandria.

a = 8.831 Å, b = 8.831 Å, c = 8.831 Å
α = 99.06°, β = 99.06°, γ = 99.06°
Positions (direct):
Pr: 0.904 0.341 0.904
Pr: 0.904 0.904 0.341
Pr: 0.341 0.904 0.904
Pr: 0.096 0.096 0.659
Pr: 0.096 0.659 0.096
Pr: 0.659 0.096 0.096
Y: 0.757 0.243 0.500
Y: 0.353 0.081 0.353
Y: 0.353 0.353 0.081
Y: 0.919 0.647 0.647
Y: 0.647 0.647 0.919
Y: 0.647 0.919 0.647
Y: 0.500 0.757 0.243
Y: 0.243 0.500 0.757
Y: 0.243 0.757 0.500
Y: 0.500 0.243 0.757
Y: 0.757 0.500 0.243
Y: 0.081 0.353 0.353
Tm: 0.000 0.000 0.000

Magnetic moment: 0.00 μB per atom
D(E_F): 1.73 states/eV/atom
Space-group type: R-3m
ΔH_f (0 K): 0.208 eV/atom
Polymorph energy (0 for the lowest one): 8.4 kJ per mole of atoms

=====

[5]
The following is a PBE calculation of an optimized crystal structure of LiHg2Os, from Alexandria.

a = 5.221 Å, b = 5.221 Å, c = 5.221 Å
α = 134.93°, β = 134.93°, γ = 65.64°
Each line ends with the local moment (μB).
Positions (direct):
Hg: 0.000 0.000 0.000  0.00
Hg: 0.250 0.750 0.500  -0.01
Li: 0.500 0.500 0.000  0.00
Os: 0.750 0.250 0.500  0.72

Magnetic moment: 0.19 μB per atom
D(E_F): 0.55 states/eV/atom
Space-group type: I-4m2
ΔH_f (0 K): 0.531 eV/atom
Polymorph energy (0 for the lowest one): 22.0 kJ per mole of atoms

=====

[6]
The following is a PBE calculation of an optimized crystal structure of Zn2C3, from Alexandria.

a = 2.641 Å, b = 2.641 Å, c = 7.884 Å
α = 90.00°, β = 90.00°, γ = 120.00°
Positions (direct):
Zn: 0.667 0.333 0.202
Zn: 0.333 0.667 0.798
C: 0.000 0.000 0.000
C: 0.667 0.333 0.479
C: 0.333 0.667 0.521

Magnetic moment: 0.00 μB per atom
D(E_F): 0.24 states/eV/atom
Space-group type: P-3m1
ΔH_f (0 K): 1.079 eV/atom
Polymorph energy (0 for the lowest one): 21.8 kJ per mole of atoms

=====

[7]
The following is a PBE calculation of an optimized crystal structure of CeDy3Er12, from Alexandria.

a = 4.969 Å, b = 4.969 Å, c = 19.876 Å
α = 90.00°, β = 90.00°, γ = 90.00°
Each line ends with the local moment (μB).
Positions (direct):
Ce: 0.000 0.000 0.000  0.68
Dy: 0.000 0.000 0.249  -0.03
Dy: 0.000 0.000 0.500  -0.02
Dy: 0.000 0.000 0.751  -0.03
Er: 0.500 0.500 0.000  0.07
Er: 0.500 0.500 0.251  -0.02
Er: 0.500 0.500 0.500  -0.02
Er: 0.500 0.500 0.749  -0.02
Er: 0.500 0.000 0.124  0.03
Er: 0.500 0.000 0.375  0.01
Er: 0.500 0.000 0.625  0.01
Er: 0.500 0.000 0.876  0.03
Er: 0.000 0.500 0.124  0.03
Er: 0.000 0.500 0.375  0.01
Er: 0.000 0.500 0.625  0.01
Er: 0.000 0.500 0.876  0.03

Magnetic moment: 0.06 μB per atom
D(E_F): 1.37 states/eV/atom
Space-group type: P4/mmm
ΔH_f (0 K): 0.032 eV/atom

=====

[8]
The following is a PBE calculation of an optimized crystal structure of Pr2TmSe3, from Alexandria.

a = 3.915 Å, b = 5.199 Å, c = 8.744 Å
α = 107.29°, β = 102.94°, γ = 90.00°
Positions (direct):
Pr: 0.646 0.646 0.291
Pr: 0.354 0.354 0.709
Tm: 0.000 0.000 0.000
Se: 0.000 0.500 0.000
Se: 0.829 0.829 0.658
Se: 0.171 0.171 0.342

Magnetic moment: 0.00 μB per atom
D(E_F): 0.70 states/eV/atom
Space-group type: Immm
Polymorph energy (0 for the lowest one): 23.6 kJ per mole of atoms
E_form (uncorrected): -1.54 eV/atom